No. 1
Density functional theory data (GGA-PBE) for a relaxed TlIn crystal.

Geometry as POSCAR:
```
TlIn
1.0
-0.9882 -4.7612 -0.2127
3.7980 1.8090 -2.4482
3.7033 -0.9925 5.0117
Tl In
2 2
Cartesian
3.1284 -0.6292 -0.4501
3.3847 -3.3155 2.8009
1.8517 -0.4962 2.5058
0.0000 0.0000 0.0000
```

Values from the calculation:
N(E_F) = 3.58 states/eV/cell
E_form = 0.13 eV/atom
Space group = P6_3/mmc (194)

---

No. 2
Density functional theory data (GGA-PBE) for a relaxed TlIn2 crystal.

Geometry as POSCAR:
```
TlIn2
1.0
-1.9468 4.5722 1.3579
-5.0688 0.8490 -0.3539
-2.8457 0.4214 4.2736
Tl In
1 2
Cartesian
0.0000 0.0000 0.0000
-7.3960 4.3820 3.9581
-2.4653 1.4607 1.3194
```

Values from the calculation:
N(E_F) = 3.15 states/eV/cell
Relative energy among the computed polymorphs = 162 meV/atom
E_form = 0.16 eV/atom
Space group = Fm-3m (225)

---

No. 3
Density functional theory data (GGA-PBE) for a relaxed Tl5In crystal.

Geometry as POSCAR:
```
Tl5In
1.0
-1.3910 1.0304 -3.5712
-0.7232 -3.8152 -0.8191
-10.6291 1.0604 4.4462
In Tl
1 5
Cartesian
-6.3717 -0.8622 0.0280
-3.6155 0.3607 1.5124
0.0000 0.0000 0.0000
-7.0136 0.6997 2.9338
-9.8674 -0.5135 1.4902
-2.8760 -1.2110 -1.4343
```

Values from the calculation:
N(E_F) = 3.30 states/eV/cell
Relative energy among the computed polymorphs = 9 meV/atom
E_form = 0.01 eV/atom
Space group = P4/mmm (123)

---

No. 4
Density functional theory data (GGA-PBE) for a relaxed Tl5In6 crystal.

Geometry as POSCAR:
```
Tl5In6
1.0
-1.9049 4.3499 -3.3982
1.4794 -2.5286 -8.0847
-5.8985 -3.7634 5.5155
In Tl
6 5
Cartesian
-5.9685 0.7715 0.7569
0.2735 0.0726 -8.3106
-0.6990 1.7487 -3.1723
-1.2341 -1.2475 -1.4738
-5.0900 -0.6946 -4.4937
-0.3555 -2.7137 -6.7244
0.7397 -1.2643 -4.0424
-3.7172 0.8843 -1.8014
-2.6068 -2.8265 -4.1661
-4.3576 -2.0341 -0.1612
-1.9665 0.0920 -5.8064
```

Values from the calculation:
N(E_F) = 5.02 states/eV/cell
E_form = 0.05 eV/atom
Space group = C2/m (12)

---

No. 5
Density functional theory data (GGA-PBE) for a relaxed Tl6In crystal.

Geometry as POSCAR:
```
Tl6In
1.0
5.4668 0.0000 0.0000
0.0000 5.4668 0.0000
0.0000 0.0000 7.6815
In Tl
1 6
Cartesian
0.0000 0.0000 0.0000
2.7334 2.7334 0.0000
0.0000 0.0000 3.8408
0.0000 2.7334 5.7170
0.0000 2.7334 1.9645
2.7334 0.0000 1.9645
2.7334 0.0000 5.7170
```

Values from the calculation:
N(E_F) = 4.77 states/eV/cell
Relative energy among the computed polymorphs = 0 meV/atom
E_form = 0.07 eV/atom
Space group = P4/mmm (123)

---

No. 6
Density functional theory data (GGA-PBE) for a relaxed Tl2In5 crystal.

Geometry as POSCAR:
```
Tl2In5
1.0
5.7921 -0.0001 -0.0001
-2.8962 7.9169 -1.0218
-0.0002 0.1657 8.6603
Tl In
4 10
Cartesian
1.8643 1.1698 0.7784
-1.0317 6.8298 2.5297
3.9275 1.2526 5.1086
1.0314 6.9126 6.8600
4.7841 0.0414 2.1651
-1.0547 4.6341 5.3003
1.8414 3.5312 6.6681
1.0543 4.5512 0.9702
1.0189 2.4029 3.7350
-1.8883 8.0410 5.4733
4.7726 2.4858 8.0652
3.9505 3.4483 2.3381
-1.8768 5.5966 -0.4269
1.8768 5.6795 3.9034
```

Values from the calculation:
N(E_F) = 5.07 states/eV/cell
Relative energy among the computed polymorphs = 6 meV/atom
E_form = 0.02 eV/atom
Space group = C2/c (15)

---

No. 7
Density functional theory data (GGA-PBE) for a relaxed Tl6In crystal.

Geometry as POSCAR:
```
Tl6In
1.0
6.4928 0.0000 0.0000
0.0000 6.4928 0.0000
0.0000 0.0000 10.8361
In Tl
2 12
Cartesian
3.2464 0.0000 0.0000
0.0000 3.2464 0.0000
1.1423 4.3886 6.9217
2.1041 1.1423 6.9217
4.3886 1.1423 3.9144
5.3505 2.1041 6.9217
3.2464 3.2464 1.5543
1.1423 2.1041 3.9144
3.2464 3.2464 9.2818
0.0000 0.0000 1.5543
4.3886 5.3505 6.9217
2.1041 5.3505 3.9144
5.3505 4.3886 3.9144
0.0000 0.0000 9.2818
```

Values from the calculation:
N(E_F) = 8.28 states/eV/cell
Relative energy among the computed polymorphs = 35 meV/atom
E_form = 0.10 eV/atom
Space group = P4/nbm (125)

---

No. 8
Density functional theory data (GGA-PBE) for a relaxed Tl2In crystal.

Geometry as POSCAR:
```
Tl2In
1.0
-2.3177 4.5312 3.9892
-4.5498 -1.5281 4.3337
1.4626 -0.1808 6.2965
Tl In
4 2
Cartesian
-3.3781 1.7640 9.1371
-2.2192 -0.5017 7.1425
-1.1032 2.5280 6.9702
-4.1094 1.8543 5.9889
0.0000 0.0000 0.0000
-1.3512 0.7056 3.6548
```

Values from the calculation:
N(E_F) = 3.54 states/eV/cell
E_form = 0.13 eV/atom
Space group = Fd-3m (227)

---

No. 9
Density functional theory data (GGA-PBE) for a relaxed Tl2In crystal.

Geometry as POSCAR:
```
Tl2In
1.0
-0.4359 0.6030 -6.2145
-4.1663 -2.8985 -3.6626
0.9402 3.6612 4.9885
Tl In
2 1
Cartesian
-3.0533 -1.5229 -6.5530
-1.5489 -0.7725 -3.3241
0.0000 0.0000 0.0000
```

Values from the calculation:
N(E_F) = 1.74 states/eV/cell
E_form = 0.03 eV/atom
Space group = Immm (71)

---

No. 10
Density functional theory data (GGA-PBE) for a relaxed TlIn crystal.

Geometry as POSCAR:
```
TlIn
1.0
6.2711 0.0000 0.0000
0.0000 6.2711 0.0000
0.0000 0.0000 6.2843
In Tl
4 4
Cartesian
1.9470 4.3241 0.0000
5.0826 5.0826 3.1422
1.1885 1.1885 3.1422
4.3241 1.9470 0.0000
1.9264 4.3448 3.1422
5.0619 5.0619 0.0000
1.2092 1.2092 0.0000
4.3448 1.9264 3.1422
```

Values from the calculation:
N(E_F) = 1.90 states/eV/cell
E_form = 0.12 eV/atom
Space group = P4_2/mnm (136)

---

No. 11
Density functional theory data (GGA-PBE) for a relaxed Tl5In7 crystal.

Geometry as POSCAR:
```
Tl5In7
1.0
3.4702 0.0000 0.0000
0.0000 9.2032 0.0000
0.0000 0.0000 10.7649
In Tl
7 5
Cartesian
1.7351 6.9208 3.4910
1.7351 2.4507 0.0000
0.0000 9.0247 5.3824
1.7351 6.7886 0.0000
0.0000 4.6221 1.8124
0.0000 4.6221 8.9525
1.7351 6.9208 7.2739
0.0000 9.1965 1.7090
0.0000 9.1965 9.0559
0.0000 4.7321 5.3824
1.7351 2.2746 7.1476
1.7351 2.2746 3.6172
```

Values from the calculation:
N(E_F) = 5.93 states/eV/cell
E_form = 0.02 eV/atom
Space group = Pmm2 (25)

---

No. 12
Density functional theory data (GGA-PBE) for a relaxed Tl2In crystal.

Geometry as POSCAR:
```
Tl2In
1.0
6.6176 -0.0136 0.0871
5.6932 3.3735 0.0871
2.0466 0.5586 7.9958
Tl In
4 2
Cartesian
9.4947 2.5914 5.4859
8.1548 2.2256 2.3109
12.7862 3.4897 5.0062
5.4057 1.4754 7.6038
12.3104 3.3598 0.2464
4.8380 1.3204 2.6691
```

Values from the calculation:
N(E_F) = 2.42 states/eV/cell
E_form = 0.02 eV/atom
Space group = Cm (8)